Run one
Compound: LaTaNi3
Source: Alexandria
Functional: PBE-GGA
Structure: relaxed

a = 4.606 Å, b = 4.606 Å, c = 4.606 Å
α = 90.00°, β = 90.00°, γ = 90.00°
Fractional coordinates of all 5 atoms:
La 0.000 0.000 0.000
Ta 0.500 0.500 0.500
Ni 0.000 0.000 0.500
Ni 0.000 0.500 0.000
Ni 0.500 0.000 0.000

Calculated values
Space group: Pm-3m
Total magnetic moment, μB per cell: 1.95
DOS(E_F), states/eV/f.u.: 6.13

---

Run two
Compound: LaTaNi3
Source: Alexandria
Functional: PBE-GGA
Structure: relaxed

a = 4.665 Å, b = 4.665 Å, c = 4.665 Å
α = 90.00°, β = 90.00°, γ = 90.00°
Fractional coordinates of all 5 atoms:
La 0.000 0.000 0.000
Ta 0.500 0.500 0.500
Ni 0.000 0.500 0.500
Ni 0.500 0.000 0.500
Ni 0.500 0.500 0.000

Calculated values
Space group: Pm-3m
Total magnetic moment, μB per cell: 0.00
DOS(E_F), states/eV/f.u.: 4.37

---

Most stable to least stable, the ends of the list are run two and run one.

---

Run one
Compound: LaTa2Ni2
Source: Alexandria
Functional: PBE-GGA
Structure: relaxed

a = 7.637 Å, b = 7.637 Å, c = 3.054 Å
α = 90.00°, β = 90.00°, γ = 90.00°
Fractional coordinates of all 10 atoms:
La 0.000 0.000 0.000
La 0.500 0.500 0.000
Ta 0.160 0.340 0.500
Ta 0.340 0.840 0.500
Ta 0.660 0.160 0.500
Ta 0.840 0.660 0.500
Ni 0.118 0.618 0.000
Ni 0.382 0.118 0.000
Ni 0.618 0.882 0.000
Ni 0.882 0.382 0.000

Calculated values
Space group: P4/mbm
Total magnetic moment, μB per cell: 0.00
DOS(E_F), states/eV/f.u.: 7.17

---

Run two
Compound: LaTa2Ni2
Source: Alexandria
Functional: PBE-GGA
Structure: relaxed

a = 5.982 Å, b = 5.982 Å, c = 5.982 Å
α = 136.44°, β = 136.44°, γ = 63.30°
Fractional coordinates of all 5 atoms:
La 0.000 0.000 0.000
Ta 0.356 0.356 0.000
Ta 0.644 0.644 0.000
Ni 0.250 0.750 0.500
Ni 0.750 0.250 0.500

Calculated values
Space group: I4/mmm
Total magnetic moment, μB per cell: 0.00
DOS(E_F), states/eV/f.u.: 8.79

---

Most stable to least stable, the ends of the list are run two and run one.

---

Run one
Compound: LaTa3Ni
Source: Alexandria
Functional: PBE-GGA
Structure: relaxed

a = 4.849 Å, b = 4.849 Å, c = 4.849 Å
α = 90.00°, β = 90.00°, γ = 90.00°
Fractional coordinates of all 5 atoms:
La 0.000 0.000 0.000
Ta 0.000 0.000 0.500
Ta 0.000 0.500 0.000
Ta 0.500 0.000 0.000
Ni 0.500 0.500 0.500

Calculated values
Space group: Pm-3m
Total magnetic moment, μB per cell: 0.00
DOS(E_F), states/eV/f.u.: 5.34

---

Run two
Compound: LaTa3Ni
Source: Alexandria
Functional: PBE-GGA
Structure: relaxed

a = 4.777 Å, b = 4.777 Å, c = 4.777 Å
α = 90.00°, β = 90.00°, γ = 90.00°
Fractional coordinates of all 5 atoms:
La 0.000 0.000 0.000
Ta 0.000 0.500 0.500
Ta 0.500 0.000 0.500
Ta 0.500 0.500 0.000
Ni 0.500 0.500 0.500

Calculated values
Space group: Pm-3m
Total magnetic moment, μB per cell: 0.00
DOS(E_F), states/eV/f.u.: 10.07

---

Most stable to least stable, the ends of the list are run two and run one.

---

Run one
Compound: LaTbNi2
Source: Alexandria
Functional: PBE-GGA
Structure: relaxed

a = 4.911 Å, b = 4.911 Å, c = 4.911 Å
α = 60.00°, β = 60.00°, γ = 60.00°
Fractional coordinates of all 4 atoms:
La 0.000 0.000 0.000
Tb 0.500 0.500 0.500
Ni 0.250 0.250 0.250
Ni 0.750 0.750 0.750

Calculated values
Space group: Fm-3m
Total magnetic moment, μB per cell: 0.00
DOS(E_F), states/eV/f.u.: 4.55

---

Run two
Compound: LaTbNi2
Source: Alexandria
Functional: PBE-GGA
Structure: relaxed

a = 3.453 Å, b = 3.453 Å, c = 6.976 Å
α = 90.00°, β = 90.00°, γ = 90.00°
Fractional coordinates of all 4 atoms:
La 0.000 0.000 0.000
Tb 0.000 0.000 0.500
Ni 0.500 0.500 0.271
Ni 0.500 0.500 0.729

Calculated values
Space group: P4/mmm
Total magnetic moment, μB per cell: 0.00
DOS(E_F), states/eV/f.u.: 3.84

---

Most stable to least stable, the ends of the list are run two and run one.

---

Run one
Compound: LaTb2Ni
Source: Alexandria
Functional: PBE-GGA
Structure: relaxed

a = 3.474 Å, b = 3.474 Å, c = 8.980 Å
α = 90.00°, β = 90.00°, γ = 90.00°
Fractional coordinates of all 4 atoms:
La 0.000 0.000 0.000
Tb 0.500 0.500 0.322
Tb 0.500 0.500 0.678
Ni 0.000 0.000 0.500

Calculated values
Space group: P4/mmm
Total magnetic moment, μB per cell: 0.00
DOS(E_F), states/eV/f.u.: 3.79

---

Run two
Compound: LaTb2Ni
Source: Alexandria
Functional: PBE-GGA
Structure: relaxed

a = 9.357 Å, b = 9.357 Å, c = 9.357 Å
α = 23.91°, β = 23.91°, γ = 23.91°
Fractional coordinates of all 4 atoms:
La 0.000 0.000 0.000
Tb 0.226 0.226 0.226
Tb 0.447 0.447 0.447
Ni 0.837 0.837 0.837

Calculated values
Space group: R3m
Total magnetic moment, μB per cell: 0.00
DOS(E_F), states/eV/f.u.: 5.37

---

Run three
Compound: LaTb2Ni
Source: Alexandria
Functional: PBE-GGA
Structure: relaxed

a = 6.973 Å, b = 9.741 Å, c = 6.502 Å
α = 90.00°, β = 90.00°, γ = 90.00°
Fractional coordinates of all 16 atoms:
La 0.036 0.250 0.141
La 0.464 0.750 0.641
La 0.536 0.250 0.359
La 0.964 0.750 0.859
Tb 0.173 0.068 0.674
Tb 0.173 0.432 0.674
Tb 0.327 0.568 0.174
Tb 0.327 0.932 0.174
Tb 0.673 0.068 0.826
Tb 0.673 0.432 0.826
Tb 0.827 0.568 0.326
Tb 0.827 0.932 0.326
Ni 0.117 0.750 0.432
Ni 0.383 0.250 0.932
Ni 0.617 0.750 0.068
Ni 0.883 0.250 0.568

Calculated values
Space group: Pnma
Total magnetic moment, μB per cell: 0.00
DOS(E_F), states/eV/f.u.: 4.32

---

Most stable to least stable, the ends of the list are run three and run two.

---

Run one
Compound: LaTb2Ni
Source: Alexandria
Functional: PBE-GGA
Structure: relaxed

a = 6.483 Å, b = 6.483 Å, c = 7.347 Å
α = 90.00°, β = 90.00°, γ = 135.33°
Fractional coordinates of all 8 atoms:
La 0.038 0.962 0.750
La 0.962 0.038 0.250
Tb 0.345 0.655 0.527
Tb 0.345 0.655 0.973
Tb 0.655 0.345 0.027
Tb 0.655 0.345 0.473
Ni 0.192 0.808 0.250
Ni 0.808 0.192 0.750

Calculated values
Space group: Cmcm
Total magnetic moment, μB per cell: 0.00
DOS(E_F), states/eV/f.u.: 4.44

---

Run two
Compound: LaTb2Ni
Source: Alexandria
Functional: PBE-GGA
Structure: relaxed

a = 10.735 Å, b = 10.735 Å, c = 10.735 Å
α = 19.38°, β = 19.38°, γ = 19.38°
Fractional coordinates of all 4 atoms:
La 0.000 0.000 0.000
Tb 0.112 0.112 0.112
Tb 0.888 0.888 0.888
Ni 0.500 0.500 0.500

Calculated values
Space group: R-3m
Total magnetic moment, μB per cell: 0.00
DOS(E_F), states/eV/f.u.: 7.76

---

Most stable to least stable, the ends of the list are run one and run two.

---

Run one
Compound: LaTcNi2
Source: Alexandria
Functional: PBE-GGA
Structure: relaxed

a = 3.054 Å, b = 3.054 Å, c = 7.074 Å
α = 90.00°, β = 90.00°, γ = 90.00°
Fractional coordinates of all 4 atoms:
La 0.000 0.000 0.000
Tc 0.500 0.500 0.656
Ni 0.000 0.000 0.471
Ni 0.500 0.500 0.296

Calculated values
Space group: P4mm
Total magnetic moment, μB per cell: 0.00
DOS(E_F), states/eV/f.u.: 4.09

---

Run two
Compound: LaTcNi2
Source: Alexandria
Functional: PBE-GGA
Structure: relaxed

a = 4.895 Å, b = 4.895 Å, c = 4.895 Å
α = 130.82°, β = 130.82°, γ = 72.11°
Fractional coordinates of all 4 atoms:
La 0.000 0.000 0.000
Tc 0.750 0.250 0.500
Ni 0.250 0.750 0.500
Ni 0.500 0.500 0.000

Calculated values
Space group: I-4m2
Total magnetic moment, μB per cell: 1.99
DOS(E_F), states/eV/f.u.: 3.60

---

Run three
Compound: LaTcNi2
Source: Alexandria
Functional: PBE-GGA
Structure: relaxed

a = 8.766 Å, b = 8.766 Å, c = 8.766 Å
α = 149.83°, β = 149.83°, γ = 43.18°
Fractional coordinates of all 8 atoms:
La 0.000 0.000 0.000
La 0.750 0.250 0.500
Tc 0.250 0.750 0.500
Tc 0.500 0.500 0.000
Ni 0.325 0.625 0.200
Ni 0.375 0.575 0.700
Ni 0.425 0.125 0.800
Ni 0.875 0.675 0.300

Calculated values
Space group: I-42d
Total magnetic moment, μB per cell: 3.26
DOS(E_F), states/eV/f.u.: 4.28

---

Run four
Compound: LaTcNi2
Source: Alexandria
Functional: PBE-GGA
Structure: relaxed

a = 4.447 Å, b = 4.447 Å, c = 3.367 Å
α = 90.00°, β = 90.00°, γ = 90.00°
Fractional coordinates of all 4 atoms:
La 0.000 0.000 0.000
Tc 0.500 0.500 0.000
Ni 0.000 0.500 0.500
Ni 0.500 0.000 0.500

Calculated values
Space group: P4/mmm
Total magnetic moment, μB per cell: 1.78
DOS(E_F), states/eV/f.u.: 4.65

---

Most stable to least stable, the ends of the list are run one and run three.

---

Run one
Compound: LaTcNi2
Source: Alexandria
Functional: PBE-GGA
Structure: relaxed

a = 4.525 Å, b = 4.525 Å, c = 4.525 Å
α = 60.00°, β = 60.00°, γ = 60.00°
Fractional coordinates of all 4 atoms:
La 0.000 0.000 0.000
Tc 0.250 0.250 0.250
Ni 0.500 0.500 0.500
Ni 0.750 0.750 0.750

Calculated values
Space group: F-43m
Total magnetic moment, μB per cell: 1.96
DOS(E_F), states/eV/f.u.: 1.48

---

Run two
Compound: LaTcNi2
Source: Alexandria
Functional: PBE-GGA
Structure: relaxed

a = 4.771 Å, b = 4.771 Å, c = 2.928 Å
α = 90.00°, β = 90.00°, γ = 106.58°
Fractional coordinates of all 4 atoms:
La 0.000 0.000 0.000
Tc 0.500 0.500 0.000
Ni 0.000 0.500 0.500
Ni 0.500 0.000 0.500

Calculated values
Space group: Cmmm
Total magnetic moment, μB per cell: 0.01
DOS(E_F), states/eV/f.u.: 4.73

---

Most stable to least stable, the ends of the list are run two and run one.

---

Run one
Compound: LaTcNi2
Source: Alexandria
Functional: PBE-GGA
Structure: relaxed

a = 5.462 Å, b = 5.462 Å, c = 5.462 Å
α = 148.37°, β = 129.65°, γ = 60.69°
Fractional coordinates of all 4 atoms:
La 0.000 0.000 0.000
Tc 0.717 0.217 0.500
Ni 0.271 0.771 0.500
Ni 0.484 0.484 0.000

Calculated values
Space group: Imm2
Total magnetic moment, μB per cell: 0.00
DOS(E_F), states/eV/f.u.: 5.77

---

Run two
Compound: LaTcNi2
Source: Alexandria
Functional: PBE-GGA
Structure: relaxed

a = 9.187 Å, b = 9.187 Å, c = 9.187 Å
α = 18.24°, β = 18.24°, γ = 18.24°
Fractional coordinates of all 4 atoms:
La 0.000 0.000 0.000
Tc 0.500 0.500 0.500
Ni 0.237 0.237 0.237
Ni 0.763 0.763 0.763

Calculated values
Space group: R-3m
Total magnetic moment, μB per cell: 0.67
DOS(E_F), states/eV/f.u.: 8.05

---

Run three
Compound: LaTcNi2
Source: Alexandria
Functional: PBE-GGA
Structure: relaxed

a = 3.265 Å, b = 4.168 Å, c = 5.144 Å
α = 90.00°, β = 101.73°, γ = 90.00°
Fractional coordinates of all 4 atoms:
La 0.000 0.000 0.000
Tc 0.238 0.500 0.597
Ni 0.577 0.000 0.496
Ni 0.583 0.500 0.214

Calculated values
Space group: Pm
Total magnetic moment, μB per cell: 0.42
DOS(E_F), states/eV/f.u.: 5.51

---

Run four
Compound: LaTcNi2
Source: Alexandria
Functional: PBE-GGA
Structure: relaxed

a = 4.214 Å, b = 4.214 Å, c = 5.564 Å
α = 112.24°, β = 112.24°, γ = 59.98°
Fractional coordinates of all 4 atoms:
La 0.000 0.000 0.000
Tc 0.183 0.183 0.547
Ni 0.497 0.497 0.487
Ni 0.810 0.810 0.427

Calculated values
Space group: Cm
Total magnetic moment, μB per cell: 0.00
DOS(E_F), states/eV/f.u.: 3.40

---

Most stable to least stable, the ends of the list are run four and run two.

---

Run one
Compound: LaTcNi2
Source: Alexandria
Functional: PBE-GGA
Structure: relaxed

a = 3.177 Å, b = 3.177 Å, c = 6.713 Å
α = 90.00°, β = 90.00°, γ = 90.00°
Fractional coordinates of all 4 atoms:
La 0.000 0.000 0.000
Tc 0.000 0.000 0.500
Ni 0.500 0.500 0.319
Ni 0.500 0.500 0.681

Calculated values
Space group: P4/mmm
Total magnetic moment, μB per cell: 1.15
DOS(E_F), states/eV/f.u.: 5.44

---

Run two
Compound: LaTcNi2
Source: Alexandria
Functional: PBE-GGA
Structure: relaxed

a = 4.205 Å, b = 4.205 Å, c = 5.554 Å
α = 112.31°, β = 112.31°, γ = 60.02°
Fractional coordinates of all 4 atoms:
La 0.000 0.000 0.000
Tc 0.500 0.500 0.500
Ni 0.193 0.193 0.579
Ni 0.807 0.807 0.421

Calculated values
Space group: C2/m
Total magnetic moment, μB per cell: 1.17
DOS(E_F), states/eV/f.u.: 4.97

---

Run three
Compound: LaTcNi2
Source: Alexandria
Functional: PBE-GGA
Structure: relaxed

a = 4.595 Å, b = 4.595 Å, c = 4.595 Å
α = 60.00°, β = 60.00°, γ = 60.00°
Fractional coordinates of all 4 atoms:
La 0.000 0.000 0.000
Tc 0.500 0.500 0.500
Ni 0.250 0.250 0.250
Ni 0.750 0.750 0.750

Calculated values
Space group: Fm-3m
Total magnetic moment, μB per cell: 2.57
DOS(E_F), states/eV/f.u.: 4.76

---

Most stable to least stable, the ends of the list are run two and run three.

---

Run one
Compound: LaTcNi3
Source: Alexandria
Functional: PBE-GGA
Structure: relaxed

a = 4.575 Å, b = 4.575 Å, c = 4.575 Å
α = 90.00°, β = 90.00°, γ = 90.00°
Fractional coordinates of all 5 atoms:
La 0.000 0.000 0.000
Tc 0.500 0.500 0.500
Ni 0.000 0.500 0.500
Ni 0.500 0.000 0.500
Ni 0.500 0.500 0.000

Calculated values
Space group: Pm-3m
Total magnetic moment, μB per cell: 0.00
DOS(E_F), states/eV/f.u.: 5.39

---

Run two
Compound: LaTcNi3
Source: Alexandria
Functional: PBE-GGA
Structure: relaxed

a = 4.554 Å, b = 4.554 Å, c = 4.554 Å
α = 90.00°, β = 90.00°, γ = 90.00°
Fractional coordinates of all 5 atoms:
La 0.000 0.000 0.000
Tc 0.500 0.500 0.500
Ni 0.000 0.000 0.500
Ni 0.000 0.500 0.000
Ni 0.500 0.000 0.000

Calculated values
Space group: Pm-3m
Total magnetic moment, μB per cell: 0.00
DOS(E_F), states/eV/f.u.: 9.82

---

Most stable to least stable, the ends of the list are run one and run two.